# K4Rb2GaPb2, relaxed, DFT GGA-PBE
# - total DFT energy (no corrections) (eV per atom) = -1.94
# - E_form (meV per atom) = -77
data_K4Rb2GaPb2
_cell_length_a 15.163
_cell_length_b 8.762
_cell_length_c 6.594
_cell_angle_alpha 90.00
_cell_angle_beta 103.78
_cell_angle_gamma 90.00
_symmetry_space_group_name_H-M 'C 1 2/m 1'
_symmetry_Int_Tables_number 12
loop_
_symmetry_equiv_pos_as_xyz
'x,y,z'
'-x,-y,-z'
'-x,y,-z'
'x,-y,z'
'x+1/2,y+1/2,z'
'-x+1/2,-y+1/2,-z'
'-x+1/2,y+1/2,-z'
'x+1/2,-y+1/2,z'
loop_
_atom_site_label
_atom_site_fract_x
_atom_site_fract_y
_atom_site_fract_z
K1 0.125 0.224 0.210
Rb1 0.140 0.500 0.725
Ga1 0.000 0.000 0.500
Pb1 0.171 0.000 0.737